# 1
The following is a DFT calculation (PBE) of crystalline OsPb at its relaxed geometry.

Cell and atoms, written as CIF:
```
data_OsPb
_chemical_formula_sum 'Os4 Pb4'
_space_group_name_H-M_alt 'I 41/a m d'
_space_group_IT_number 141
_cell_length_a 4.430
_cell_length_b 4.430
_cell_length_c 8.029
_cell_angle_alpha 90.00
_cell_angle_beta 90.00
_cell_angle_gamma 90.00
loop_
_space_group_symop_operation_xyz
'x,y,z'
'-x,-y,-z'
'-y+1/4,x+3/4,z+1/4'
'y+1/4,-x+3/4,-z+1/4'
'-x+1/2,-y,z+1/2'
'x+1/2,y,-z+1/2'
'y+1/4,-x+1/4,z+3/4'
'-y+1/4,x+1/4,-z+3/4'
'x,-y,-z'
'-x,y,z'
'-y+1/4,-x+1/4,-z+3/4'
'y+1/4,x+1/4,z+3/4'
'-x+1/2,y,-z+1/2'
'x+1/2,-y,z+1/2'
'y+1/4,x+3/4,-z+1/4'
'-y+1/4,-x+3/4,z+1/4'
'x+1/2,y+1/2,z+1/2'
'-x+1/2,-y+1/2,-z+1/2'
'-y+3/4,x+1/4,z+3/4'
'y+3/4,-x+1/4,-z+3/4'
'-x,-y+1/2,z'
'x,y+1/2,-z'
'y+3/4,-x+3/4,z+1/4'
'-y+3/4,x+3/4,-z+1/4'
'x+1/2,-y+1/2,-z+1/2'
'-x+1/2,y+1/2,z+1/2'
'-y+3/4,-x+3/4,-z+1/4'
'y+3/4,x+3/4,z+1/4'
'-x,y+1/2,-z'
'x,-y+1/2,z'
'y+3/4,x+1/4,-z+3/4'
'-y+3/4,-x+1/4,z+3/4'
loop_
_atom_site_label
_atom_site_type_symbol
_atom_site_fract_x
_atom_site_fract_y
_atom_site_fract_z
Os1 Os 0.000 0.250 0.375
Pb1 Pb 0.000 0.250 0.875
```

Output
ΔH_f (0 K)	2.59	eV/f.u.
VASP energy	-6.172	eV per atom

# 2
The following is a DFT calculation (PBE) of crystalline TbPr3Nd2Sm6 at its relaxed geometry.

Cell and atoms, written as CIF:
```
data_TbPr3Nd2Sm6
_chemical_formula_sum 'Tb2 Pr6 Nd4 Sm12'
_space_group_name_H-M_alt 'C 1 2/m 1'
_space_group_IT_number 12
_space_group_name_Hall '-C 2y'
_cell_length_a 6.333
_cell_length_b 10.968
_cell_length_c 12.108
_cell_angle_alpha 90.00
_cell_angle_beta 100.08
_cell_angle_gamma 90.00
loop_
_atom_site_label
_atom_site_type_symbol
_atom_site_fract_x
_atom_site_fract_y
_atom_site_fract_z
Tb1 Tb 0.000 0.000 0.000
Pr1 Pr 0.000 0.167 0.500
Pr2 Pr 0.000 0.500 0.500
Nd1 Nd 0.000 0.333 0.000
Sm1 Sm 0.249 0.166 0.248
Sm2 Sm 0.250 0.000 0.752
```

Output
ΔH_f (0 K)	0.16	eV/f.u.
VASP energy	-4.721	eV per atom

# 3
The following is a DFT calculation (PBE) of crystalline CdGa2SeBr at its relaxed geometry.

Cell and atoms, written as CIF:
```
data_CdGa2SeBr
_chemical_formula_sum 'Cd1 Ga2 Se1 Br1'
_space_group_name_H-M_alt 'P 4/m m m'
_space_group_IT_number 123
_space_group_name_Hall '-P 4 2'
_cell_length_a 5.402
_cell_length_b 5.402
_cell_length_c 5.180
_cell_angle_alpha 90.00
_cell_angle_beta 90.00
_cell_angle_gamma 90.00
loop_
_atom_site_label
_atom_site_type_symbol
_atom_site_fract_x
_atom_site_fract_y
_atom_site_fract_z
Cd1 Cd 0.000 0.000 0.000
Ga1 Ga 0.000 0.500 0.000
Se1 Se 0.500 0.500 0.500
Br1 Br 0.000 0.000 0.500
```

Output
uncorrected formation energy	0.340	eV/atom
VASP energy	-2.085	eV per atom

Which value of VASP energy does entry 3 give? -2.085 eV per atom

Which formula does entry 3 have? CdGa2SeBr

Among the records above, which one has the lowest VASP energy? OsPb